The following is a GGA-PBE calculation of an optimized crystal structure of CsTbSbSe3, from the Open Quantum Materials Database.

**Total magnetization**: 0.02 μB per cell
**Electronic total energy**: -4.3935 eV/atom

Cell lengths 4.5351, 16.5795, 11.8593 Å; angles 90.00, 90.00, 90.00 degrees
Last column: nearest neighbours and their distance in Å.
Space group Cmcm (No. 63)
Unique sites:
Cs 0.0000 0.2134 0.2500  2 Se 3.51
Tb 0.0000 0.5000 0.0000  6 Se 2.93-2.96
Sb 0.0000 0.0897 0.7500  4 Se 2.70-2.87
Se 0.0000 0.1116 0.5099  1 Sb 2.87, 2 Tb 2.93
Se 0.0000 0.4985 0.2500  2 Sb 2.70, 2 Tb 2.96